# 1
Here is an optimized crystal structure of Y3Mn3Ga2Si from Alexandria via LeMat-Bulk. Energies are from PBE-GGA.

Geometry as POSCAR:
```
Y3Mn3Ga2Si
1.0
0.9471 5.7703 -3.8347
-6.4658 -2.3737 1.2070
-0.2098 2.3210 3.4407
Ga Y Mn Si
2 3 3 1
direct
0.3333 0.6667 0.0000 Ga
0.6667 0.3333 0.5000 Ga
0.2443 0.3292 0.5000 Y
0.0849 0.7557 0.5000 Y
0.6708 0.9151 0.5000 Y
0.4265 0.1052 0.0000 Mn
0.6787 0.5735 0.0000 Mn
0.8948 0.3213 0.0000 Mn
0.0000 0.0000 0.0000 Si
```

**Raw total energy**: -6.837 eV/atom
**Formation energy (no corrections)**: -0.351 eV per atom

***

# 2
Here is an optimized crystal structure of Sm2MnGa6 from Alexandria via LeMat-Bulk. Energies are from PBE-GGA.

Geometry as POSCAR:
```
Sm2MnGa6
1.0
-5.3629 -2.8208 -1.5009
-1.2615 -1.3346 -5.9664
0.0311 -5.9316 -1.9456
Mn Ga Sm
1 6 2
direct
0.5000 0.5000 0.5000 Mn
0.2194 0.2194 0.7806 Ga
0.7806 0.2194 0.2194 Ga
0.2194 0.7806 0.2194 Ga
0.2194 0.7806 0.7806 Ga
0.7806 0.7806 0.2194 Ga
0.7806 0.2194 0.7806 Ga
0.2500 0.2500 0.2500 Sm
0.7500 0.7500 0.7500 Sm
```

**Raw total energy**: -4.629 eV/atom
**E_form**: -544 meV/atom

***

# 3
Here is an optimized crystal structure of SmMnGa3 from Alexandria via LeMat-Bulk. Energies are from PBE-GGA.

Geometry as POSCAR:
```
SmMnGa3
1.0
-3.8892 -1.8847 1.5593
1.2518 -4.0497 -1.7726
2.1016 -1.0756 3.9415
Ga Mn Sm
3 1 1
direct
0.0000 0.5000 0.0000 Ga
0.5000 0.0000 0.0000 Ga
0.0000 0.0000 0.5000 Ga
0.0000 0.0000 0.0000 Mn
0.5000 0.5000 0.5000 Sm
```

**Raw total energy**: -4.917 eV/atom
**E_form**: -323 meV/atom

***

# 4
Here is an optimized crystal structure of SmMnGa from Alexandria via LeMat-Bulk. Energies are from PBE-GGA.

Geometry as POSCAR:
```
SmMnGa
1.0
-1.5936 0.9584 -3.3525
-4.0235 -0.3587 1.8099
2.1319 3.8780 0.0953
Sm Mn Ga
1 1 1
direct
0.6668 0.3333 0.6667 Sm
0.1666 0.6667 0.3333 Mn
0.1666 0.0000 0.0000 Ga
```

**Raw total energy**: -5.871 eV/atom
**E_form**: -233 meV/atom